KLa2ZrZn | SCAN | single point on PBEsol structure

## Properties
M_tot: 0.3612 μB per atom
DOS(E_F): 6.7 states/eV per cell
Energy of formation: 0.4791 eV/atom
Uncorrected energy: -27.27 eV/atom

a b c (Å): 5.7469 5.7469 5.2865
angles (deg): 90.00 90.00 90.00
Element x y z (fractional)
1 K 0.0000 0.0000 0.0000
2 La 0.0000 0.5000 0.5000
3 La 0.5000 0.0000 0.5000
4 Zr 0.5000 0.5000 0.0000
5 Zn 0.5000 0.5000 0.5000